Record 1
## Dy3SBr7 (PBE)

Data for a relaxed Dy3SBr7 crystal.

```
Dy3SBr7
1.0
8.238 0.000 0.000
-4.119 7.134 0.000
0.000 0.000 7.005
Dy S Br
3 1 7
direct
0.015 0.507 0.000 Dy
0.493 0.507 0.000 Dy
0.493 0.985 0.000 Dy
0.333 0.667 0.809 S
0.171 0.342 0.234 Br
0.171 0.829 0.234 Br
0.346 0.173 0.786 Br
0.658 0.829 0.234 Br
0.667 0.333 0.237 Br
0.827 0.173 0.786 Br
0.827 0.654 0.786 Br
```

Results
Calculated density, kg/m3: 4351
V, Å³ per cell: 411.7
SG: P3m1 (156)
Total energy, eV/atom: -4.5840
ΔE_f (raw), eV per atom: -1.889

---

Record 2
## SrLiSe2 (PBE)

Data for a relaxed SrLiSe2 crystal.

```
SrLiSe2
1.0
4.295 0.000 0.000
0.000 4.295 0.000
0.000 0.000 6.074
Sr Li Se
1 1 2
direct
0.000 0.000 0.000 Sr
0.500 0.500 0.485 Li
0.000 0.000 0.500 Se
0.500 0.500 0.013 Se
```

Results
Calculated density, kg/m3: 3741
V, Å³ per cell: 112.1
SG: P4mm (99)
Total energy, eV/atom: -3.8396
ΔE_f (raw), eV per atom: -1.198

---

Record 3
## Tl3Hg3Pb2 (PBE)

Data for a relaxed Tl3Hg3Pb2 crystal.

```
Tl3Hg3Pb2
1.0
-2.287 2.609 9.827
2.287 -2.609 9.827
2.287 2.609 -9.827
Tl Hg Pb
3 3 2
direct
0.000 0.000 0.000 Tl
0.378 0.878 0.500 Tl
0.622 0.122 0.500 Tl
0.126 0.626 0.500 Hg
0.500 0.500 0.000 Hg
0.874 0.374 0.500 Hg
0.247 0.247 0.000 Pb
0.753 0.753 0.000 Pb
```

Results
Calculated formation energy, eV/atom: 0.017
Calculated density, kg/m3: 11536
V, Å³ per cell: 234.5
SG: Immm (71)
Total energy, eV/atom: -1.9102

---

Record 4
## BaZr2Tl4 (PBE)

Data for a relaxed BaZr2Tl4 crystal.

```
BaZr2Tl4
1.0
-3.051 3.051 7.640
3.051 -3.051 7.640
3.051 3.051 -7.640
Ba Zr Tl
1 2 4
direct
0.000 0.000 0.000 Ba
0.419 0.419 0.000 Zr
0.581 0.581 0.000 Zr
0.000 0.500 0.500 Tl
0.223 0.223 0.000 Tl
0.500 0.000 0.500 Tl
0.777 0.777 0.000 Tl
```

Results
Calculated formation energy, eV/atom: 0.650
Calculated density, kg/m3: 6640
V, Å³ per cell: 284.4
SG: I4/mmm (139)
Total energy, eV/atom: -3.4189